No. 1
Tb2Si2Ge | PBE | relaxed

Structure (extended XYZ):
```
20
Lattice="7.092 0.000 0.000 0.000 7.092 0.000 0.000 0.000 8.399" Properties=species:S:1:pos:R:3 pbc="T T T"
Si 2.707 6.253 2.100
Si 0.839 2.707 2.100
Ge 0.000 0.000 6.298
Tb 5.807 2.262 4.200
Si 2.707 6.253 6.299
Tb 4.829 5.807 4.200
Ge 3.546 3.546 6.300
Tb 2.262 1.285 4.200
Ge 0.000 0.000 2.101
Tb 1.283 4.831 0.000
Ge 3.546 3.546 2.099
Si 0.839 2.707 6.299
Si 4.385 0.839 6.299
Tb 4.831 5.808 0.000
Si 4.385 0.839 2.100
Tb 2.261 1.283 0.000
Si 6.253 4.385 2.100
Si 6.253 4.385 6.299
Tb 1.285 4.829 4.200
Tb 5.808 2.261 0.000
```

Raw formation energy: -63.23 kJ per mole of atoms
Energy: -112.0 eV/cell
DOS at the Fermi energy: 2.37 states/eV/f.u.
Volume: 21.12 Å³/atom
Size of the total moment: 0.00 μB per formula unit
SG: P4/mbm, No. 127

No. 2
TaCrMoIr | PBE | relaxed

Structure (extended XYZ):
```
4
Lattice="-1.321 4.043 1.251 -1.371 0.696 4.159 2.493 2.384 2.786" Properties=species:S:1:pos:R:3 pbc="T T T"
Ir -0.149 5.342 6.147
Ta 0.000 0.000 0.000
Mo -0.050 1.781 2.049
Cr -0.099 3.562 4.098
```

Formation enthalpy at 0 K: -0.17 eV/atom
Energy: -41.9 eV/cell
DOS at the Fermi energy: 3.38 states/eV/f.u.
Volume: 15.41 Å³/atom
Size of the total moment: 2.06 μB per formula unit
SG: F-43m, No. 216

No. 3
Zr2MoAu | PBE | relaxed

Structure (extended XYZ):
```
4
Lattice="4.721 0.011 0.000 -0.010 4.721 0.000 0.000 0.000 3.464" Properties=species:S:1:pos:R:3 pbc="T T T"
Zr 2.355 2.366 0.000
Au 2.360 0.005 1.732
Zr 0.000 0.000 0.000
Mo -0.005 2.361 1.732
```

Formation enthalpy at 0 K: -0.27 eV/atom
Energy: -32.3 eV/cell
DOS at the Fermi energy: 3.25 states/eV/f.u.
Volume: 19.30 Å³/atom
Size of the total moment: 0.00 μB per formula unit
SG: P4/mmm, No. 123

No. 4
TcHgPCl2 | PBE | relaxed

Structure (extended XYZ):
```
5
Lattice="5.126 0.000 0.000 0.000 5.126 0.000 0.000 0.000 5.205" Properties=species:S:1:pos:R:3 pbc="T T T"
Cl 0.000 2.563 0.000
Hg 0.000 0.000 0.000
P 0.000 0.000 2.603
Tc 2.563 2.563 2.603
Cl 2.563 0.000 0.000
```

Raw formation energy: 103.60 kJ per mole of atoms
Energy: -14.4 eV/cell
DOS at the Fermi energy: 2.39 states/eV/f.u.
Volume: 27.35 Å³/atom
Size of the total moment: 4.34 μB per formula unit
SG: P4/mmm, No. 123

- Which of these has the lowest energy?
  Tb2Si2Ge

- The lowest volume belongs to which entry?
  TaCrMoIr

- The highest energy belongs to which entry?
  TcHgPCl2